Entry a
! K2RuCl (SCAN, single point on PBEsol structure); values from VASP
! Space group   No. 25
&SYSTEM
  ibrav = 0, nat = 4, ntyp = 3
/
ATOMIC_SPECIES
K 39.10 K.upf
Cl 35.45 Cl.upf
Ru 101.07 Ru.upf
CELL_PARAMETERS angstrom
-1.531 2.519 -1.165
-2.964 0.479 4.932
4.093 3.477 2.122
ATOMIC_POSITIONS crystal
K 0.875 0.000 0.874
Cl 0.376 0.500 0.876
Ru 0.375 0.000 0.373
K 0.875 0.500 0.376

Entry b
! K2RuCl (SCAN, single point on PBEsol structure); values from VASP
! Space group   No. 99
&SYSTEM
  ibrav = 0, nat = 4, ntyp = 3
/
ATOMIC_SPECIES
K 39.10 K.upf
Ru 101.07 Ru.upf
Cl 35.45 Cl.upf
CELL_PARAMETERS angstrom
-0.360 -3.246 -0.047
1.614 -0.220 2.831
-8.757 0.898 5.061
ATOMIC_POSITIONS crystal
K 0.500 0.500 0.249
Ru 0.000 0.000 0.487
Cl 0.500 0.500 0.968
K 0.000 0.000 0.796

Question: which arrangement is favored energetically? Ranking from most to least stable: entry a, entry b.